[1]
RbBeZn2Au: relaxed, GGA-PBE.

Geometry as POSCAR:
```
RbBeZn2Au
1.0
-2.3468 3.9326 2.0884
-5.1739 -3.5895 0.9452
1.7610 -1.3485 4.5183
Be Zn Au Rb
1 2 1 1
Cartesian
-2.8799 -0.5027 3.7759
0.8805 -0.6743 2.2592
-1.1734 1.9663 1.0442
0.0000 0.0000 0.0000
-2.5869 -1.7947 0.4726
```

Values from the calculation:
- M_tot: 0.00 μB/f.u.
- Space-group type: No. 123

[2]
Be2Re2Au: relaxed, GGA-PBE.

Geometry as POSCAR:
```
Be2Re2Au
1.0
-0.2024 -1.5721 5.8427
-1.1285 -5.7336 -1.5819
3.3007 -0.6341 -0.0563
Re Au Be
4 2 4
Cartesian
0.8569 -4.4420 -0.0853
0.5801 -6.1201 2.5900
1.1129 -3.4979 4.2899
1.3896 -1.8198 1.6146
0.0000 0.0000 0.0000
-0.6655 -3.6529 2.1304
-1.0710 -5.6484 0.8313
-0.8771 -4.9353 4.1663
-0.2600 -1.6574 3.4296
-0.4538 -2.3705 0.0946
```

Values from the calculation:
- M_tot: 0.00 μB/f.u.
- Space-group type: No. 127

[3]
BeRe3Au: relaxed, GGA-PBE.

Geometry as POSCAR:
```
BeRe3Au
1.0
4.8134 0.0000 0.0000
0.0000 4.8134 0.0000
0.0000 0.0000 4.8134
Re Au Be
3 1 1
Cartesian
0.0000 2.4067 0.0000
0.0000 0.0000 2.4067
2.4067 0.0000 0.0000
0.0000 0.0000 0.0000
2.4067 2.4067 2.4067
```

Values from the calculation:
- M_tot: 2.42 μB/f.u.
- Space-group type: No. 221
- Energy above the most stable polymorph in this dataset: 2.454 eV/atom

[4]
BeReAu3: relaxed, GGA-PBE.

Geometry as POSCAR:
```
BeReAu3
1.0
4.3432 0.0000 0.0000
0.0000 4.3432 0.0000
0.0000 0.0000 4.3432
Re Au Be
1 3 1
Cartesian
2.1716 2.1716 2.1716
0.0000 2.1716 0.0000
0.0000 0.0000 2.1716
2.1716 0.0000 0.0000
0.0000 0.0000 0.0000
```

Values from the calculation:
- M_tot: 0.92 μB/f.u.
- Space-group type: No. 221
- Energy above the most stable polymorph in this dataset: 0.000 eV/atom

no.,DFT total energy (eV/atom)
1,-1.483
2,-6.994
3,-5.555
4,-4.350